9
Lattice="-3.945 -2.474 1.509 3.244 -5.997 -1.351 2.947 4.144 6.561" Properties=species:S:1:pos:R:3 comment="LiCaIn PBE relaxed" sg=Imm2 energy_ev_per_atom=-2.437 pbc="T T T"
In 0.816 -1.509 -0.340
In 1.100 -5.150 2.372
In 2.098 -0.937 3.950
Ca 3.884 -3.816 3.901
Ca 2.526 -4.670 -1.052
Ca -0.825 -2.015 2.479
Li 2.267 -2.665 1.558
Li -0.414 -0.935 5.324
Li -0.401 -4.143 0.100


7
Lattice="4.669 0.000 0.000 -2.334 5.488 -0.357 0.000 -2.961 7.040" Properties=species:S:1:pos:R:3 comment="Li2Ca2In3 PBE relaxed" relative_energy_mev_per_atom=9 sg=C2/m energy_ev_per_atom=-2.620 pbc="T T T"
Li 0.000 0.825 1.377
Li 2.334 1.702 5.306
In 0.000 2.468 3.662
In 2.334 0.000 0.000
In 2.334 0.058 3.021
Ca 2.334 3.230 1.365
Ca 0.000 -0.703 5.318


3
Lattice="6.046 0.058 -0.009 3.636 4.830 0.009 -4.831 -2.463 2.673" Properties=species:S:1:pos:R:3 comment="LiCaIn PBE relaxed" sg=Imm2 energy_ev_per_atom=-2.503 pbc="T T T"
Li 6.707 3.387 0.000
Ca 9.651 4.873 0.000
In 3.006 1.518 0.000


10
Lattice="4.930 0.000 0.000 0.000 5.809 -2.130 0.000 0.496 8.217" Properties=species:S:1:pos:R:3 comment="Li3CaIn PBE relaxed" relative_energy_mev_per_atom=0 sg=P2_1/m energy_ev_per_atom=-2.281 pbc="T T T"
Li 2.704 5.235 0.208
Li 0.239 2.874 2.659
Li 0.239 5.543 1.604
Li 0.238 5.369 4.388
Li 2.704 2.095 1.282
Li 2.703 5.905 5.640
Ca 2.704 1.887 4.858
Ca 0.239 3.081 -0.916
In 2.703 4.490 2.990
In 0.238 0.479 0.952


Calculated formation energy values, unit eV/atom, following the record order: -0.22 -0.33 -0.28 -0.18.